Below is an optimized crystal structure of LaTb2Pr2Tm2, with properties calculated at the PBE-GGA level.

Output
Its total magnetization is 0.000 Bohr magnetons per cell. The value obtained for the density of states at the Fermi level is 12.46 states/eV/f.u. The calculation puts the calculated total energy at -31.896 eV for the cell shown.

Cell: 5.857 5.682 10.161 Å, 60.00 90.00 121.03°
Element x y z (fractional)
Tb: 0.861 0.722 0.211
Tb: 0.139 0.278 0.789
Tm: 0.586 0.173 0.621
Tm: 0.414 0.827 0.379
Pr: 0.307 0.614 0.035
Pr: 0.693 0.386 0.965
La: 0.000 0.000 0.500